[1]
Sc3Br3N PBE-GGA optimized geometry; total energy = -6.151 eV per atom; magnetic moment = 0.0000 μB per atom; formation energy (no corrections) = -1034 kJ/mol of formula units; space group = R-3; D(E_F) = 0.482 states/eV per atom
1.0
5.788 0.000 1.860
2.595 5.173 1.860
-0.254 -0.157 10.725
N Sc Br
2 6 6
Cartesian
5.589 3.449 2.480
2.541 1.568 11.965
5.968 4.951 4.179
2.161 0.065 10.266
3.369 3.115 2.979
6.349 1.615 3.640
4.760 1.902 11.465
1.780 3.402 10.805
3.838 1.132 4.678
1.500 2.093 8.514
6.629 2.924 5.931
4.548 0.402 9.158
4.291 3.885 9.766
3.581 4.615 5.286

[2]
ScSeBr2N PBE-GGA optimized geometry; total energy = -4.133 eV per atom; magnetic moment = 0.7977 μB per atom; formation energy (no corrections) = 79 kJ/mol of formula units; space group = P4/mmm; D(E_F) = 0.692 states/eV per atom
1.0
-5.175 0.620 -1.175
-1.252 -3.861 3.474
-0.439 3.581 3.821
Br Sc Se N
2 1 1 1
Cartesian
-0.626 -1.930 1.737
-2.587 0.310 -0.588
0.000 0.000 0.000
-0.219 1.790 1.910
-3.433 0.170 3.060

[3]
ScSeBrN2 PBE-GGA optimized geometry; total energy = -4.896 eV per atom; magnetic moment = 0.7573 μB per atom; formation energy (no corrections) = 353 kJ/mol of formula units; space group = P4/mmm; D(E_F) = 0.607 states/eV per atom
1.0
4.274 0.000 0.000
0.000 4.274 0.000
0.000 0.000 5.712
Se Sc N Br
1 1 2 1
Cartesian
0.000 0.000 2.856
0.000 0.000 0.000
0.000 2.137 0.000
2.137 0.000 0.000
2.137 2.137 2.856

[4]
ScSeBrN2 PBE-GGA optimized geometry; total energy = -4.279 eV per atom; magnetic moment = 0.0827 μB per atom; formation energy (no corrections) = 651 kJ/mol of formula units; space group = P4/mmm; D(E_F) = 0.535 states/eV per atom
1.0
-0.840 3.505 -1.796
1.467 -1.426 -3.469
-4.573 -1.724 -1.225
Br Sc N Se
1 1 2 1
Cartesian
0.000 0.000 0.000
-1.973 0.178 -3.245
-0.420 1.753 -0.898
0.734 -0.713 -1.734
-2.286 -0.862 -0.613

[5]
ScSe2BrN PBE-GGA optimized geometry; total energy = -4.363 eV per atom; magnetic moment = 0.0000 μB per atom; formation energy (no corrections) = 143 kJ/mol of formula units; space group = P4/mmm; D(E_F) = 1.258 states/eV per atom
1.0
5.305 0.000 0.000
0.000 5.305 0.000
0.000 0.000 4.075
Br Se Sc N
1 2 1 1
Cartesian
2.653 2.653 2.037
2.653 0.000 0.000
0.000 2.653 0.000
0.000 0.000 0.000
0.000 0.000 2.037

[6]
ScSe2BrN PBE-GGA optimized geometry; total energy = -3.850 eV per atom; magnetic moment = 0.0269 μB per atom; formation energy (no corrections) = 391 kJ/mol of formula units; space group = P4/mmm; D(E_F) = 0.683 states/eV per atom
1.0
5.206 0.000 0.000
0.000 5.206 0.000
0.000 0.000 3.818
N Se Br Sc
1 2 1 1
Cartesian
0.000 0.000 1.909
0.000 2.603 0.000
2.603 0.000 0.000
0.000 0.000 0.000
2.603 2.603 1.909

[7]
ScSe2BrN PBE-GGA optimized geometry; total energy = -4.206 eV per atom; magnetic moment = 0.8826 μB per atom; formation energy (no corrections) = 219 kJ/mol of formula units; space group = P4/mmm; D(E_F) = 0.699 states/eV per atom
1.0
5.212 0.000 0.000
0.000 5.212 0.000
0.000 0.000 5.393
N Br Se Sc
1 1 2 1
Cartesian
2.606 2.606 2.697
0.000 0.000 2.697
0.000 2.606 0.000
2.606 0.000 0.000
0.000 0.000 0.000

[8]
ScSeBr2N PBE-GGA optimized geometry; total energy = -3.896 eV per atom; magnetic moment = 0.2011 μB per atom; formation energy (no corrections) = 194 kJ/mol of formula units; space group = P4/mmm; D(E_F) = 0.669 states/eV per atom
1.0
4.599 0.000 0.000
0.000 4.599 0.000
0.000 0.000 4.671
Sc N Se Br
1 1 1 2
Cartesian
2.300 2.300 2.335
0.000 0.000 0.000
0.000 0.000 2.335
0.000 2.300 0.000
2.300 0.000 0.000